# BiS | Alexandria | PBE | optimized geometry
# Formation energy from raw total energies: -0.139 eV per atom
# Total DFT energy (no corrections): -4.143 eV/atom
data_BiS
_chemical_formula_sum 'Bi2 S2'
_cell_length_a 3.883
_cell_length_b 3.598
_cell_length_c 7.574
_cell_angle_alpha 90.00
_cell_angle_beta 90.00
_cell_angle_gamma 90.00
_symmetry_space_group_name_H-M 'A m m 2'
_symmetry_Int_Tables_number 38
loop_
_symmetry_equiv_pos_as_xyz
'x,y,z'
'-x,-y,z'
'-x,y,z'
'x,-y,z'
'x,y+1/2,z+1/2'
'-x,-y+1/2,z+1/2'
'-x,y+1/2,z+1/2'
'x,-y+1/2,z+1/2'
loop_
_atom_site_label
_atom_site_fract_x
_atom_site_fract_y
_atom_site_fract_z
Bi1 0.000 0.000 0.000
S1 0.500 0.000 0.241